Compound: Tb2MnF8
Source: the Alexandria database
Functional: GGA+U
Structure: optimized geometry

Structure (extended XYZ):
```
11
Lattice="7.3971 -1.8193 0.0000 7.3971 1.8193 0.0000 -1.8099 0.0000 5.0790" Properties=species:S:1:pos:R:3 pbc="T T T"
Tb 2.2511 0.0000 0.9346
Tb 10.7332 0.0000 4.1445
Mn 6.4922 0.0000 2.5395
F 0.0535 0.0000 1.6546
F 1.7673 0.0000 4.2011
F 3.7716 0.0000 2.7317
F 5.8801 0.0000 0.3615
F 7.1043 0.0000 4.7176
F 9.2128 0.0000 2.3474
F 11.2170 0.0000 0.8780
F 12.9309 0.0000 3.4244
```

energy: -6.58 eV/atom
symmetry: C2/m, No. 12
size of the total moment: 5.00 μB/f.u.
DOS(E_F): 0.00 states/eV/atom